A plane-wave DFT calculation with GGA+U was carried out for crystalline K5MoO4F2 at its relaxed geometry.

Results
crystal system = orthorhombic
space group = Amm2
total DFT energy (no corrections) = -60.42 eV/f.u.

Unit cell a=6.302 b=6.100 c=7.712 alpha=90.00 beta=90.00 gamma=121.10
Each line ends with the local moment (μB).
Fractional positions:
K  0.398  0.000  0.500  0.00
K  0.081  0.370  0.243  0.00
K  0.081  0.370  0.757  0.00
K  0.711  0.630  0.757  0.00
K  0.711  0.630  0.243  0.00
F  0.367  0.407  0.500  0.00
F  0.961  0.593  0.500  0.00
O  0.403  0.300  0.000  0.02
O  0.586  0.000  0.799  0.03
O  0.586  0.000  0.201  0.03
O  0.103  0.700  0.000  0.02
Mo  0.416  0.000  0.000  0.88